First-principles (PBE) data for a relaxed GaH2 crystal, as listed in Alexandria.

Calculated values
E: -2.72 eV per atom

Cell and atoms, written as CIF:
```
data_GaH2
_chemical_formula_sum 'Ga12 H24'
_symmetry_space_group_name_H-M 'F m -3 m'
_symmetry_Int_Tables_number 225
_symmetry_space_group_name_Hall '-F 4 2 3'
_cell_length_a 7.110
_cell_length_b 7.110
_cell_length_c 7.110
_cell_angle_alpha 90.00
_cell_angle_beta 90.00
_cell_angle_gamma 90.00
loop_
_atom_site_label
_atom_site_fract_x
_atom_site_fract_y
_atom_site_fract_z
Ga1 0.000 0.000 0.000
Ga2 0.250 0.250 0.250
H1 0.000 0.000 0.250
```

=====

First-principles (PBE) data for a relaxed Al2NiPb crystal, as listed in Alexandria.

Calculated values
E: -4.33 eV per atom
ΔH_f (0 K): -83 meV per atom

Cell and atoms, written as CIF:
```
data_Al2NiPb
_chemical_formula_sum 'Al2 Ni1 Pb1'
_symmetry_space_group_name_H-M 'P 4/m m m'
_symmetry_Int_Tables_number 123
_symmetry_space_group_name_Hall '-P 4 2'
_cell_length_a 3.012
_cell_length_b 3.012
_cell_length_c 8.166
_cell_angle_alpha 90.00
_cell_angle_beta 90.00
_cell_angle_gamma 90.00
loop_
_atom_site_label
_atom_site_fract_x
_atom_site_fract_y
_atom_site_fract_z
Al1 0.000 0.000 0.169
Ni1 0.500 0.500 0.000
Pb1 0.500 0.500 0.500
```

=====

First-principles (PBE) data for a relaxed HfTc2Rh2 crystal, as listed in Alexandria.

Calculated values
E: -9.17 eV per atom
ΔH_f (0 K): -95 meV per atom

Cell and atoms, written as CIF:
```
data_HfTc2Rh2
_chemical_formula_sum 'Hf2 Tc4 Rh4'
_symmetry_space_group_name_H-M 'I 4/m m m'
_symmetry_Int_Tables_number 139
_symmetry_space_group_name_Hall '-I 4 2'
_cell_length_a 3.531
_cell_length_b 3.531
_cell_length_c 13.408
_cell_angle_alpha 90.00
_cell_angle_beta 90.00
_cell_angle_gamma 90.00
loop_
_atom_site_label
_atom_site_fract_x
_atom_site_fract_y
_atom_site_fract_z
Hf1 0.000 0.000 0.000
Tc1 0.000 0.500 0.250
Rh1 0.000 0.000 0.403
```

=====

First-principles (PBE) data for a relaxed ScAg4Hg4 crystal, as listed in Alexandria.

Calculated values
E: -2.15 eV per atom
ΔH_f (0 K): -45 meV per atom

Cell and atoms, written as CIF:
```
data_ScAg4Hg4
_chemical_formula_sum 'Sc2 Ag8 Hg8'
_symmetry_space_group_name_H-M 'I 4/m m m'
_symmetry_Int_Tables_number 139
_symmetry_space_group_name_Hall '-I 4 2'
_cell_length_a 9.684
_cell_length_b 9.684
_cell_length_c 3.911
_cell_angle_alpha 90.00
_cell_angle_beta 90.00
_cell_angle_gamma 90.00
loop_
_atom_site_label
_atom_site_fract_x
_atom_site_fract_y
_atom_site_fract_z
Sc1 0.000 0.000 0.000
Ag1 0.000 0.341 0.000
Hg1 0.166 0.166 0.500
```

=====

First-principles (PBE) data for a relaxed Zn2FeRe crystal, as listed in Alexandria.

Calculated values
E: -5.06 eV per atom
ΔH_f (0 K): 806 meV per atom

Cell and atoms, written as CIF:
```
data_Zn2FeRe
_chemical_formula_sum 'Zn8 Fe4 Re4'
_symmetry_space_group_name_H-M 'I -4 2 d'
_symmetry_Int_Tables_number 122
_symmetry_space_group_name_Hall 'I -4 2bw'
_cell_length_a 6.782
_cell_length_b 6.782
_cell_length_c 4.954
_cell_angle_alpha 90.00
_cell_angle_beta 90.00
_cell_angle_gamma 90.00
loop_
_atom_site_label
_atom_site_fract_x
_atom_site_fract_y
_atom_site_fract_z
Zn1 0.230 0.250 0.125
Fe1 0.000 0.000 0.000
Re1 0.000 0.000 0.500
```

=====

First-principles (PBE) data for a relaxed CrBiSN2 crystal, as listed in Alexandria.

Calculated values
E: -4.73 eV per atom
Formation energy from raw total energies: 10.650 eV per formula unit

Cell and atoms, written as CIF:
```
data_CrBiSN2
_chemical_formula_sum 'Cr1 Bi1 S1 N2'
_symmetry_space_group_name_H-M 'P 4/m m m'
_symmetry_Int_Tables_number 123
_symmetry_space_group_name_Hall '-P 4 2'
_cell_length_a 4.232
_cell_length_b 4.232
_cell_length_c 5.307
_cell_angle_alpha 90.00
_cell_angle_beta 90.00
_cell_angle_gamma 90.00
loop_
_atom_site_label
_atom_site_fract_x
_atom_site_fract_y
_atom_site_fract_z
Cr1 0.000 0.000 0.000
Bi1 0.500 0.500 0.500
S1 0.500 0.500 0.000
N1 0.000 0.500 0.500
```

=====

First-principles (PBE) data for a relaxed K3La3PaO8 crystal, as listed in Alexandria.

Calculated values
E: -7.31 eV per atom
Formation energy from raw total energies: -42.478 eV per formula unit

Cell and atoms, written as CIF:
```
data_K3La3PaO8
_chemical_formula_sum 'K9 La9 Pa3 O24'
_symmetry_space_group_name_H-M 'R -3 m'
_symmetry_Int_Tables_number 166
_symmetry_space_group_name_Hall '-R 3 2"'
_cell_length_a 7.3958
_cell_length_b 7.3958
_cell_length_c 19.0547
_cell_angle_alpha 90.00
_cell_angle_beta 90.00
_cell_angle_gamma 120.00
loop_
_atom_site_label
_atom_site_fract_x
_atom_site_fract_y
_atom_site_fract_z
K1 0.0000 0.5000 0.0000
La1 0.0000 0.5000 0.5000
Pa1 0.0000 0.0000 0.5000
O1 0.0000 0.0000 0.2280
O2 0.0251 0.5126 0.2254
```

=====

First-principles (PBE) data for a relaxed Ac3PmHo2 crystal, as listed in Alexandria.

Calculated values
E: -4.30 eV per atom
ΔH_f (0 K): 73 meV per atom

Cell and atoms, written as CIF:
```
data_Ac3PmHo2
_chemical_formula_sum 'Ac12 Pm4 Ho8'
_symmetry_space_group_name_H-M 'C 1 2/c 1'
_symmetry_Int_Tables_number 15
_cell_length_a 10.776
_cell_length_b 7.542
_cell_length_c 12.541
_cell_angle_alpha 90.00
_cell_angle_beta 115.41
_cell_angle_gamma 90.00
loop_
_symmetry_equiv_pos_as_xyz
'x,y,z'
'-x,-y,-z'
'-x,y,-z+1/2'
'x,-y,z+1/2'
'x+1/2,y+1/2,z'
'-x+1/2,-y+1/2,-z'
'-x+1/2,y+1/2,-z+1/2'
'x+1/2,-y+1/2,z+1/2'
loop_
_atom_site_label
_atom_site_fract_x
_atom_site_fract_y
_atom_site_fract_z
Ac1 0.000 0.126 0.250
Ac2 0.167 0.376 0.084
Pm1 0.000 0.374 0.750
Ho1 0.166 0.124 0.582
```

=====

First-principles (PBE) data for a relaxed Pm3In2GaRh3 crystal, as listed in Alexandria.

Calculated values
E: -5.53 eV per atom
ΔH_f (0 K): -555 meV per atom

Cell and atoms, written as CIF:
```
data_Pm3In2GaRh3
_chemical_formula_sum 'Pm3 In2 Ga1 Rh3'
_symmetry_space_group_name_H-M 'P -6 2 m'
_symmetry_Int_Tables_number 189
_symmetry_space_group_name_Hall 'P -6 -2'
_cell_length_a 7.6119
_cell_length_b 7.6119
_cell_length_c 3.9327
_cell_angle_alpha 90.00
_cell_angle_beta 90.00
_cell_angle_gamma 120.00
loop_
_atom_site_label
_atom_site_fract_x
_atom_site_fract_y
_atom_site_fract_z
Pm1 0.0000 0.3782 0.0000
In1 0.3333 0.6667 0.5000
Ga1 0.0000 0.0000 0.0000
Rh1 0.0000 0.7718 0.5000
```

=====

First-principles (PBE) data for a relaxed HfGa2Cu crystal, as listed in Alexandria.

Calculated values
E: -5.26 eV per atom
ΔH_f (0 K): -232 meV per atom

Cell and atoms, written as CIF:
```
data_HfGa2Cu
_chemical_formula_sum 'Hf3 Ga6 Cu3'
_symmetry_space_group_name_H-M 'R -3 m'
_symmetry_Int_Tables_number 166
_symmetry_space_group_name_Hall '-R 3 2"'
_cell_length_a 4.0534
_cell_length_b 4.0534
_cell_length_c 14.0408
_cell_angle_alpha 90.00
_cell_angle_beta 90.00
_cell_angle_gamma 120.00
loop_
_atom_site_label
_atom_site_fract_x
_atom_site_fract_y
_atom_site_fract_z
Hf1 0.0000 0.0000 0.0000
Ga1 0.0000 0.0000 0.2223
Cu1 0.0000 0.0000 0.5000
```

=====

First-principles (PBE) data for a relaxed SrLiTc2 crystal, as listed in Alexandria.

Calculated values
E: -5.59 eV per atom
ΔH_f (0 K): 494 meV per atom

Cell and atoms, written as CIF:
```
data_SrLiTc2
_chemical_formula_sum 'Sr2 Li2 Tc4'
_symmetry_space_group_name_H-M 'C 1 2/m 1'
_symmetry_Int_Tables_number 12
_cell_length_a 7.431
_cell_length_b 4.287
_cell_length_c 6.256
_cell_angle_alpha 90.00
_cell_angle_beta 113.18
_cell_angle_gamma 90.00
loop_
_symmetry_equiv_pos_as_xyz
'x,y,z'
'-x,-y,-z'
'-x,y,-z'
'x,-y,z'
'x+1/2,y+1/2,z'
'-x+1/2,-y+1/2,-z'
'-x+1/2,y+1/2,-z'
'x+1/2,-y+1/2,z'
loop_
_atom_site_label
_atom_site_fract_x
_atom_site_fract_y
_atom_site_fract_z
Sr1 0.000 0.000 0.000
Li1 0.000 0.500 0.500
Tc1 0.180 0.000 0.539
```

=====

First-principles (PBE) data for a relaxed NaSr3Pt crystal, as listed in Alexandria.

Calculated values
E: -2.53 eV per atom
ΔH_f (0 K): -46 meV per atom

Cell and atoms, written as CIF:
```
data_NaSr3Pt
_chemical_formula_sum 'Na2 Sr6 Pt2'
_symmetry_space_group_name_H-M 'A m m 2'
_symmetry_Int_Tables_number 38
_cell_length_a 4.253
_cell_length_b 8.263
_cell_length_c 19.844
_cell_angle_alpha 90.00
_cell_angle_beta 90.00
_cell_angle_gamma 90.00
loop_
_symmetry_equiv_pos_as_xyz
'x,y,z'
'-x,-y,z'
'-x,y,z'
'x,-y,z'
'x,y+1/2,z+1/2'
'-x,-y+1/2,z+1/2'
'-x,y+1/2,z+1/2'
'x,-y+1/2,z+1/2'
loop_
_atom_site_label
_atom_site_fract_x
_atom_site_fract_y
_atom_site_fract_z
Na1 0.000 0.000 0.000
Sr1 0.000 0.244 0.669
Sr2 0.500 0.000 0.829
Pt1 0.500 0.000 0.684
```

=====

First-principles (PBE) data for a relaxed PmScTlSn crystal, as listed in Alexandria.

Calculated values
E: -4.77 eV per atom
ΔH_f (0 K): -409 meV per atom

Cell and atoms, written as CIF:
```
data_PmScTlSn
_chemical_formula_sum 'Pm4 Sc4 Tl4 Sn4'
_symmetry_space_group_name_H-M 'F -4 3 m'
_symmetry_Int_Tables_number 216
_symmetry_space_group_name_Hall 'F -4 2 3'
_cell_length_a 7.492
_cell_length_b 7.492
_cell_length_c 7.492
_cell_angle_alpha 90.00
_cell_angle_beta 90.00
_cell_angle_gamma 90.00
loop_
_atom_site_label
_atom_site_fract_x
_atom_site_fract_y
_atom_site_fract_z
Pm1 0.000 0.000 0.000
Sc1 0.000 0.000 0.500
Tl1 0.250 0.250 0.750
Sn1 0.250 0.250 0.250
```

=====

First-principles (PBE) data for a relaxed LiRu2O4 crystal, as listed in Alexandria.

Calculated values
E: -6.83 eV per atom
Formation energy from raw total energies: -7.480 eV per formula unit

Cell and atoms, written as CIF:
```
data_LiRu2O4
_chemical_formula_sum 'Li2 Ru4 O8'
_symmetry_space_group_name_H-M 'C 1 2/m 1'
_symmetry_Int_Tables_number 12
_cell_length_a 11.045
_cell_length_b 3.129
_cell_length_c 4.856
_cell_angle_alpha 90.00
_cell_angle_beta 109.22
_cell_angle_gamma 90.00
loop_
_symmetry_equiv_pos_as_xyz
'x,y,z'
'-x,-y,-z'
'-x,y,-z'
'x,-y,z'
'x+1/2,y+1/2,z'
'-x+1/2,-y+1/2,-z'
'-x+1/2,y+1/2,-z'
'x+1/2,-y+1/2,z'
loop_
_atom_site_label
_atom_site_fract_x
_atom_site_fract_y
_atom_site_fract_z
Li1 0.000 0.000 0.000
Ru1 0.245 0.500 0.720
O1 0.132 0.500 0.298
O2 0.155 0.000 0.840
```

=====

First-principles (PBE) data for a relaxed Na2YZrIr crystal, as listed in Alexandria.

Calculated values
E: -3.48 eV per atom
ΔH_f (0 K): 1822 meV per atom

Cell and atoms, written as CIF:
```
data_Na2YZrIr
_chemical_formula_sum 'Na2 Y1 Zr1 Ir1'
_symmetry_space_group_name_H-M 'P 4/m m m'
_symmetry_Int_Tables_number 123
_symmetry_space_group_name_Hall '-P 4 2'
_cell_length_a 5.134
_cell_length_b 5.134
_cell_length_c 5.224
_cell_angle_alpha 90.00
_cell_angle_beta 90.00
_cell_angle_gamma 90.00
loop_
_atom_site_label
_atom_site_fract_x
_atom_site_fract_y
_atom_site_fract_z
Na1 0.000 0.500 0.000
Y1 0.000 0.000 0.500
Zr1 0.000 0.000 0.000
Ir1 0.500 0.500 0.500
```

=====

First-principles (PBE) data for a relaxed AcDyGa2 crystal, as listed in Alexandria.

Calculated values
E: -4.22 eV per atom
ΔH_f (0 K): -529 meV per atom

Cell and atoms, written as CIF:
```
data_AcDyGa2
_chemical_formula_sum 'Ac2 Dy2 Ga4'
_symmetry_space_group_name_H-M 'A m m 2'
_symmetry_Int_Tables_number 38
_cell_length_a 4.225
_cell_length_b 4.481
_cell_length_c 11.749
_cell_angle_alpha 90.00
_cell_angle_beta 90.00
_cell_angle_gamma 90.00
loop_
_symmetry_equiv_pos_as_xyz
'x,y,z'
'-x,-y,z'
'-x,y,z'
'x,-y,z'
'x,y+1/2,z+1/2'
'-x,-y+1/2,z+1/2'
'-x,y+1/2,z+1/2'
'x,-y+1/2,z+1/2'
loop_
_atom_site_label
_atom_site_fract_x
_atom_site_fract_y
_atom_site_fract_z
Ac1 0.000 0.000 0.000
Dy1 0.500 0.000 0.724
Ga1 0.000 0.000 0.276
Ga2 0.500 0.000 0.412
```

=====

First-principles (PBE) data for a relaxed ErRhAu crystal, as listed in Alexandria.

Calculated values
E: -5.66 eV per atom
ΔH_f (0 K): -598 meV per atom

Cell and atoms, written as CIF:
```
data_ErRhAu
_chemical_formula_sum 'Er1 Rh1 Au1'
_symmetry_space_group_name_H-M 'P -6 m 2'
_symmetry_Int_Tables_number 187
_symmetry_space_group_name_Hall 'P -6 2'
_cell_length_a 4.5648
_cell_length_b 4.5648
_cell_length_c 3.3688
_cell_angle_alpha 90.00
_cell_angle_beta 90.00
_cell_angle_gamma 120.00
loop_
_atom_site_label
_atom_site_fract_x
_atom_site_fract_y
_atom_site_fract_z
Er1 0.0000 0.0000 0.0000
Rh1 0.6667 0.3333 0.5000
Au1 0.3333 0.6667 0.5000
```

=====

First-principles (PBE) data for a relaxed Ba2Ti3AlO8 crystal, as listed in Alexandria.

Calculated values
E: -7.69 eV per atom
Formation energy from raw total energies: -36.701 eV per formula unit

Cell and atoms, written as CIF:
```
data_Ba2Ti3AlO8
_chemical_formula_sum 'Ba2 Ti3 Al1 O8'
_symmetry_space_group_name_H-M 'P 4/m m m'
_symmetry_Int_Tables_number 123
_symmetry_space_group_name_Hall '-P 4 2'
_cell_length_a 3.975
_cell_length_b 3.975
_cell_length_c 11.439
_cell_angle_alpha 90.00
_cell_angle_beta 90.00
_cell_angle_gamma 90.00
loop_
_atom_site_label
_atom_site_fract_x
_atom_site_fract_y
_atom_site_fract_z
Ba1 0.000 0.000 0.174
Ti1 0.500 0.500 0.000
Ti2 0.500 0.500 0.355
Al1 0.000 0.000 0.500
O1 0.000 0.500 0.000
O2 0.000 0.500 0.383
O3 0.500 0.500 0.187
```

=====

First-principles (PBE) data for a relaxed P2Ru2SeN crystal, as listed in Alexandria.

Calculated values
E: -7.08 eV per atom
Formation energy from raw total energies: -1.327 eV per formula unit

Cell and atoms, written as CIF:
```
data_P2Ru2SeN
_chemical_formula_sum 'P4 Ru4 Se2 N2'
_symmetry_space_group_name_H-M 'I 4 m m'
_symmetry_Int_Tables_number 107
_symmetry_space_group_name_Hall 'I 4 -2'
_cell_length_a 4.102
_cell_length_b 4.102
_cell_length_c 11.329
_cell_angle_alpha 90.00
_cell_angle_beta 90.00
_cell_angle_gamma 90.00
loop_
_atom_site_label
_atom_site_fract_x
_atom_site_fract_y
_atom_site_fract_z
P1 0.000 0.000 0.000
P2 0.000 0.000 0.281
Ru1 0.000 0.500 0.401
Se1 0.000 0.000 0.544
N1 0.000 0.000 0.140
```

=====

First-principles (PBE) data for a relaxed CsRbTi2Sn crystal, as listed in Alexandria.

Calculated values
E: -2.55 eV per atom
ΔH_f (0 K): 1771 meV per atom

Cell and atoms, written as CIF:
```
data_CsRbTi2Sn
_chemical_formula_sum 'Cs1 Rb1 Ti2 Sn1'
_symmetry_space_group_name_H-M 'P 4/m m m'
_symmetry_Int_Tables_number 123
_symmetry_space_group_name_Hall '-P 4 2'
_cell_length_a 5.412
_cell_length_b 5.412
_cell_length_c 6.400
_cell_angle_alpha 90.00
_cell_angle_beta 90.00
_cell_angle_gamma 90.00
loop_
_atom_site_label
_atom_site_fract_x
_atom_site_fract_y
_atom_site_fract_z
Cs1 0.000 0.000 0.000
Rb1 0.500 0.500 0.500
Ti1 0.000 0.500 0.000
Sn1 0.000 0.000 0.500
```